An optimized crystal structure of Sc2AlCo5Si2. Source: Alexandria via LeMat-Bulk, functional PBE.

Computed properties:
V: 13.21 Å³ per atom
uncorrected formation energy: -0.569 eV per atom
total DFT energy (no corrections): -6.847 eV per atom

Unit cell a=9.053 b=9.053 c=3.224 alpha=90.00 beta=90.00 gamma=90.00
Element x y z (fractional)
Sc (0.175, 0.325, 0.000)
Sc (0.325, 0.825, 0.000)
Sc (0.675, 0.175, 0.000)
Sc (0.825, 0.675, 0.000)
Al (0.000, 0.000, 0.000)
Al (0.500, 0.500, 0.000)
Co (0.000, 0.500, 0.500)
Co (0.066, 0.789, 0.500)
Co (0.211, 0.066, 0.500)
Co (0.289, 0.566, 0.500)
Co (0.434, 0.289, 0.500)
Co (0.500, 0.000, 0.500)
Co (0.566, 0.711, 0.500)
Co (0.711, 0.434, 0.500)
Co (0.789, 0.934, 0.500)
Co (0.934, 0.211, 0.500)
Si (0.122, 0.622, 0.000)
Si (0.378, 0.122, 0.000)
Si (0.622, 0.878, 0.000)
Si (0.878, 0.378, 0.000)

=====

An optimized crystal structure of Fe2HgRu. Source: Alexandria via LeMat-Bulk, functional PBE.

Computed properties:
energy of formation from the pure elements: 0.40 eV/atom
V: 14.76 Å³ per atom
total DFT energy (no corrections): -6.224 eV per atom

Unit cell a=4.671 b=4.671 c=4.671 alpha=129.58 beta=129.58 gamma=74.08
Element x y z (fractional)
Fe (0.250, 0.750, 0.500)
Fe (0.750, 0.250, 0.500)
Hg (0.000, 0.000, 0.000)
Ru (0.500, 0.500, 0.000)

=====

An optimized crystal structure of Ca2Pd15Pb2. Source: Alexandria via LeMat-Bulk, functional PBE.

Computed properties:
energy of formation from the pure elements: -0.26 eV/atom
V: 18.40 Å³ per atom
total DFT energy (no corrections): -4.958 eV per atom

Unit cell a=7.104 b=7.104 c=7.104 alpha=82.30 beta=82.30 gamma=82.30
Element x y z (fractional)
Ca (0.140, 0.140, 0.140)
Ca (0.860, 0.860, 0.860)
Pd (0.000, 0.500, 0.500)
Pd (0.154, 0.154, 0.663)
Pd (0.154, 0.663, 0.154)
Pd (0.187, 0.500, 0.813)
Pd (0.187, 0.813, 0.500)
Pd (0.337, 0.846, 0.846)
Pd (0.500, 0.000, 0.500)
Pd (0.500, 0.187, 0.813)
Pd (0.500, 0.500, 0.000)
Pd (0.500, 0.813, 0.187)
Pd (0.663, 0.154, 0.154)
Pd (0.813, 0.187, 0.500)
Pd (0.813, 0.500, 0.187)
Pd (0.846, 0.337, 0.846)
Pd (0.846, 0.846, 0.337)
Pb (0.391, 0.391, 0.391)
Pb (0.609, 0.609, 0.609)

=====

An optimized crystal structure of Na2Tb3NdSe6. Source: Alexandria via LeMat-Bulk, functional PBE.

Computed properties:
V: 25.53 Å³ per atom
uncorrected formation energy: -1.734 eV per atom
total DFT energy (no corrections): -5.251 eV per atom

Unit cell a=7.171 b=7.171 c=7.279 alpha=99.45 beta=99.45 gamma=119.96
Element x y z (fractional)
Na (0.166, 0.834, 0.000)
Na (0.834, 0.166, 0.000)
Tb (0.000, 0.000, 0.500)
Tb (0.332, 0.668, 0.500)
Tb (0.668, 0.332, 0.500)
Nd (0.500, 0.500, 0.000)
Se (0.080, 0.414, 0.742)
Se (0.253, 0.253, 0.261)
Se (0.414, 0.080, 0.742)
Se (0.586, 0.920, 0.258)
Se (0.747, 0.747, 0.739)
Se (0.920, 0.586, 0.258)